1.
# KPrAg

Crystalline KPrAg at its relaxed geometry (PBE, the Alexandria database).

```
KPrAg
1.0
5.614 0.000 0.000
0.000 5.612 0.000
-0.030 0.000 14.456
K Pr Ag
4 4 4
Cartesian
1.383 0.000 2.103 K
1.395 2.806 12.353 K
4.190 2.806 2.103 K
4.202 0.000 12.353 K
1.389 0.000 6.040 Pr
1.389 2.806 8.416 Pr
4.196 0.000 8.416 Pr
4.196 2.806 6.040 Pr
1.387 2.806 4.545 Ag
1.391 0.000 9.911 Ag
4.194 0.000 4.545 Ag
4.198 2.806 9.911 Ag
```

Calculated values
Formation energy ... -55 meV per atom
Density of states at the Fermi level ... 2.63 states/eV/f.u.

2.
# KPrAg10

Crystalline KPrAg10 at its relaxed geometry (PBE, the Alexandria database).

```
KPrAg10
1.0
4.689 0.000 0.000
0.000 5.684 0.000
0.000 0.000 9.957
K Pr Ag
1 1 10
Cartesian
0.000 0.000 0.000 K
0.000 2.842 4.979 Pr
0.000 0.000 3.367 Ag
0.000 0.000 6.590 Ag
0.000 2.842 1.731 Ag
0.000 2.842 8.226 Ag
2.345 0.000 4.979 Ag
2.345 1.455 2.572 Ag
2.345 1.455 7.385 Ag
2.345 2.842 0.000 Ag
2.345 4.229 2.572 Ag
2.345 4.229 7.385 Ag
```

Calculated values
Formation energy ... -53 meV per atom
Density of states at the Fermi level ... 6.30 states/eV/f.u.

3.
# KPr2AgS4

Crystalline KPr2AgS4 at its relaxed geometry (PBE, the Alexandria database).

```
KPr2AgS4
1.0
2.094 -6.980 0.000
2.094 6.980 0.000
0.000 0.000 14.552
K Pr Ag S
2 4 2 8
Cartesian
2.094 5.385 10.914 K
2.094 -5.385 3.638 K
2.094 1.849 8.224 Pr
2.094 1.849 13.604 Pr
2.094 -1.849 0.948 Pr
2.094 -1.849 6.328 Pr
2.094 4.743 3.638 Ag
2.094 -4.743 10.914 Ag
0.000 0.000 0.000 S
0.000 0.000 7.276 S
2.094 3.285 1.551 S
2.094 3.285 5.725 S
2.094 0.790 10.914 S
2.094 -0.790 3.638 S
2.094 -3.285 8.827 S
2.094 -3.285 13.001 S
```

Calculated values
Uncorrected formation energy ... -12.62 eV/f.u.

4.
# KPr2AgSe4

Crystalline KPr2AgSe4 at its relaxed geometry (PBE, the Alexandria database).

```
KPr2AgSe4
1.0
2.165 -7.232 0.000
2.165 7.232 0.000
0.000 0.000 15.127
K Pr Ag Se
2 4 2 8
Cartesian
2.165 5.522 11.346 K
2.165 -5.522 3.782 K
2.165 1.917 8.577 Pr
2.165 1.917 14.114 Pr
2.165 -1.917 1.013 Pr
2.165 -1.917 6.550 Pr
2.165 4.953 3.782 Ag
2.165 -4.953 11.346 Ag
0.000 0.000 0.000 Se
0.000 0.000 7.564 Se
2.165 3.366 1.639 Se
2.165 3.366 5.925 Se
2.165 0.750 11.346 Se
2.165 -0.750 3.782 Se
2.165 -3.366 9.202 Se
2.165 -3.366 13.489 Se
```

Calculated values
Uncorrected formation energy ... -11.93 eV/f.u.

5.
# KPrAgTe3

Crystalline KPrAgTe3 at its relaxed geometry (PBE, the Alexandria database).

```
KPrAgTe3
1.0
2.224 -8.269 0.000
2.224 8.269 0.000
0.000 0.000 11.613
K Pr Ag Te
2 2 2 6
Cartesian
2.224 4.215 8.710 K
2.224 -4.215 2.903 K
0.000 0.000 0.000 Pr
0.000 0.000 5.806 Pr
2.224 0.413 2.903 Ag
2.224 -0.413 8.710 Ag
2.224 6.902 2.903 Te
2.224 2.180 0.731 Te
2.224 2.180 5.076 Te
2.224 -2.180 6.537 Te
2.224 -2.180 10.882 Te
2.224 -6.902 8.710 Te
```

Calculated values
Density of states at the Fermi level ... 4.90 states/eV/f.u.
Uncorrected formation energy ... -5.46 eV/f.u.

6.
# KAg2Pt

Crystalline KAg2Pt at its relaxed geometry (PBE, the Alexandria database).

```
KAg2Pt
1.0
2.925 0.000 0.000
0.000 5.323 0.000
0.000 0.000 10.825
K Ag Pt
2 4 2
Cartesian
0.000 0.000 0.000 K
1.463 2.661 5.413 K
0.000 0.000 5.288 Ag
0.000 2.661 2.342 Ag
1.463 0.000 7.755 Ag
1.463 2.661 10.700 Ag
0.000 2.661 8.356 Pt
1.463 0.000 2.943 Pt
```

Calculated values
Formation energy ... 189 meV per atom
Energy above the lowest structure with this stoichiometry ... 54 meV per atom
Density of states at the Fermi level ... 1.43 states/eV/f.u.

7.
# KAg2Pt2

Crystalline KAg2Pt2 at its relaxed geometry (PBE, the Alexandria database).

```
KAg2Pt2
1.0
8.378 0.000 0.000
0.000 8.378 0.000
0.000 0.000 2.827
K Ag Pt
2 4 4
Cartesian
0.000 0.000 0.000 K
4.189 4.189 0.000 K
1.484 2.705 1.414 Ag
2.705 6.894 1.414 Ag
5.673 1.484 1.414 Ag
6.894 5.673 1.414 Ag
0.981 5.170 0.000 Pt
3.208 0.981 0.000 Pt
5.170 7.397 0.000 Pt
7.397 3.208 0.000 Pt
```

Calculated values
Formation energy ... 35 meV per atom
Energy above the lowest structure with this stoichiometry ... 0 meV per atom
Density of states at the Fermi level ... 3.49 states/eV/f.u.

8.
# K2Ag2Pt

Crystalline K2Ag2Pt at its relaxed geometry (PBE, the Alexandria database).

```
K2Ag2Pt
1.0
7.092 0.000 0.000
0.000 7.092 0.000
0.000 0.000 5.279
K Ag Pt
4 4 2
Cartesian
1.291 2.255 0.000 K
2.255 5.801 0.000 K
4.837 1.291 0.000 K
5.801 4.837 0.000 K
0.992 4.538 2.640 Ag
2.554 0.992 2.640 Ag
4.538 6.100 2.640 Ag
6.100 2.554 2.640 Ag
0.000 0.000 2.640 Pt
3.546 3.546 2.640 Pt
```

Calculated values
Formation energy ... 64 meV per atom
Density of states at the Fermi level ... 0.76 states/eV/f.u.